1.
! KAc5Te8 (PBE-GGA, optimized geometry); values from VASP
&SYSTEM
  ibrav = 0, nat = 14, ntyp = 3
/
ATOMIC_SPECIES
K 39.10 K.upf
Ac 227.00 Ac.upf
Te 127.60 Te.upf
ATOMIC_POSITIONS crystal
K 0.000 0.000 0.000
Ac 0.118 0.242 0.618
Ac 0.250 0.750 0.500
Ac 0.500 0.882 0.124
Ac 0.624 0.500 0.382
Ac 0.758 0.376 0.876
Te 0.031 0.620 0.747
Te 0.232 0.486 0.101
Te 0.380 0.127 0.411
Te 0.384 0.131 0.899
Te 0.514 0.616 0.746
Te 0.716 0.969 0.589
Te 0.869 0.768 0.254
Te 0.873 0.284 0.253
CELL_PARAMETERS angstrom
-5.026 5.026 5.015
5.026 -5.026 5.015
5.026 5.026 -5.015
! VASP energy = -69.041 eV per formula unit
! formation energy from raw total energies = -1.59 eV per atom
! space-group type = I-4, No. 82

---

2.
! KAcTe4 (PBE-GGA, optimized geometry); values from VASP
&SYSTEM
  ibrav = 0, nat = 12, ntyp = 3
/
ATOMIC_SPECIES
K 39.10 K.upf
Ac 227.00 Ac.upf
Te 127.60 Te.upf
ATOMIC_POSITIONS crystal
K 0.250 0.250 0.000
K 0.750 0.750 0.000
Ac 0.250 0.250 0.500
Ac 0.750 0.750 0.500
Te 0.109 0.609 0.276
Te 0.109 0.891 0.724
Te 0.391 0.609 0.724
Te 0.391 0.891 0.276
Te 0.609 0.109 0.724
Te 0.609 0.391 0.276
Te 0.891 0.109 0.276
Te 0.891 0.391 0.724
CELL_PARAMETERS angstrom
7.113 0.000 0.000
0.000 7.113 0.000
0.000 0.000 9.179
! energy above the most stable polymorph in this dataset = 0 meV/atom
! VASP energy = -23.774 eV per formula unit
! formation energy from raw total energies = -1.00 eV per atom
! space-group type = P4/nbm, No. 125

---

3.
! KAc3Te4 (PBE-GGA, optimized geometry); values from VASP
&SYSTEM
  ibrav = 0, nat = 16, ntyp = 3
/
ATOMIC_SPECIES
K 39.10 K.upf
Ac 227.00 Ac.upf
Te 127.60 Te.upf
ATOMIC_POSITIONS crystal
K 0.333 0.667 0.250
K 0.667 0.333 0.750
Ac 0.000 0.000 0.000
Ac 0.000 0.000 0.500
Ac 0.333 0.667 0.619
Ac 0.333 0.667 0.881
Ac 0.667 0.333 0.119
Ac 0.667 0.333 0.381
Te 0.000 0.000 0.177
Te 0.000 0.000 0.323
Te 0.000 0.000 0.677
Te 0.000 0.000 0.823
Te 0.333 0.667 0.060
Te 0.333 0.667 0.440
Te 0.667 0.333 0.560
Te 0.667 0.333 0.940
CELL_PARAMETERS angstrom
4.783 0.000 0.000
-2.392 4.143 0.000
0.000 0.000 32.116
! energy above the most stable polymorph in this dataset = 0 meV/atom
! VASP energy = -37.856 eV per formula unit
! formation energy from raw total energies = -1.48 eV per atom
! space-group type = P6_3/mmc, No. 194

---

4.
! KAc4Te6 (PBE-GGA, optimized geometry); values from VASP
&SYSTEM
  ibrav = 0, nat = 11, ntyp = 3
/
ATOMIC_SPECIES
K 39.10 K.upf
Ac 227.00 Ac.upf
Te 127.60 Te.upf
ATOMIC_POSITIONS crystal
K 0.000 0.000 0.000
Ac 0.333 0.667 0.000
Ac 0.402 0.201 0.500
Ac 0.799 0.201 0.500
Ac 0.799 0.598 0.500
Te 0.171 0.341 0.500
Te 0.171 0.829 0.500
Te 0.531 0.062 0.000
Te 0.531 0.469 0.000
Te 0.659 0.829 0.500
Te 0.938 0.469 0.000
CELL_PARAMETERS angstrom
10.142 0.000 0.000
-5.071 8.783 0.000
0.000 0.000 4.844
! VASP energy = -51.056 eV per formula unit
! formation energy from raw total energies = -1.33 eV per atom
! space-group type = P-6m2, No. 187